1.
18
Lattice="-2.2207 -3.7271 0.4017 2.7038 1.9281 9.2078 -11.3605 6.9711 1.8762" Properties=species:S:1:pos:R:3 comment="Ba2CeGaSe5 GGA-PBE relaxed" formation_energy_uncorrected_kj_per_mol_fu=-1405 total_magnetization_mub_per_fu=0.77 space_group="Cmc2_1, No. 36" dos_at_fermi_per_ev_fu=4.4 pbc="T T T"
Ba -9.3547 3.9792 8.8351
Ba -7.4261 4.8050 3.5290
Ba -3.3670 2.3246 2.9552
Ba -2.0214 -0.5103 7.7205
Ce -6.1354 1.8444 6.8244
Ce 0.3396 0.2096 3.8221
Ga -11.4866 4.6212 3.0055
Ga -3.4620 3.0491 9.1526
Se 0.9948 0.1179 6.5938
Se -10.4411 4.2452 5.2966
Se -7.1655 5.4370 10.8342
Se -6.6738 4.7168 6.8700
Se -5.6096 1.8563 9.8422
Se -6.4292 1.7142 3.9930
Se -3.2284 2.6403 6.6503
Se -4.1821 0.0236 0.7292
Se -2.4109 -0.6447 4.3197
Se -0.1576 0.1801 0.7995

---

2.
4
Lattice="4.0420 0.0000 0.0000 0.0000 4.0420 0.0000 0.0000 0.0000 6.9407" Properties=species:S:1:pos:R:3 comment="BaCeGe2 GGA-PBE relaxed" ef_ev_per_fu=-2.3 total_magnetization_mub_per_fu=1.06 space_group="P4/mmm, No. 123" dos_at_fermi_per_ev_fu=5.4 pbc="T T T"
Ge 0.0000 0.0000 5.6625
Ge 0.0000 0.0000 1.2782
Ba 2.0210 2.0210 3.4703
Ce 2.0210 2.0210 0.0000

---

3.
9
Lattice="-1.8704 2.9584 2.4061 -4.4489 -4.0347 5.2664 3.5129 -0.5363 7.1539" Properties=species:S:1:pos:R:3 comment="BaCe2Ge6 GGA-PBE relaxed" ef_ev_per_fu=-4.1 total_magnetization_mub_per_fu=0.77 space_group="Cm, No. 8" dos_at_fermi_per_ev_fu=10.9 pbc="T T T"
Ba -1.8697 2.9523 2.4147
Ce -0.6012 -1.2139 4.7860
Ce -2.2055 -0.3963 10.0374
Ge -3.3499 -3.1584 8.7976
Ge 0.5466 1.5478 6.0284
Ge -3.7053 -0.3205 5.0204
Ge -0.0976 -0.2313 7.7213
Ge -2.7091 -1.3788 7.1021
Ge 0.8958 -1.2928 9.8042

---

4.
24
Lattice="4.4894 0.0000 0.0000 0.0000 8.2160 0.0000 0.0000 0.0000 17.4100" Properties=species:S:1:pos:R:3 comment="BaCeGe4 GGA-PBE relaxed" ef_ev_per_fu=-2.9 total_magnetization_mub_per_fu=0.76 space_group="Pbam, No. 55" dos_at_fermi_per_ev_fu=6.4 pbc="T T T"
Ba 0.0000 5.1915 5.9642
Ba 0.0000 3.0245 11.4457
Ba 0.0000 1.0835 2.7407
Ba 0.0000 7.1325 14.6692
Ce 0.0000 5.1897 1.5248
Ce 0.0000 3.0263 15.8852
Ce 0.0000 1.0817 7.1802
Ce 0.0000 7.1343 10.2298
Ge 2.2447 6.5157 3.3706
Ge 2.2447 1.7002 14.0393
Ge 2.2447 2.4078 5.3344
Ge 2.2447 5.8082 12.0756
Ge 2.2447 7.2302 0.8791
Ge 2.2447 0.9857 16.5309
Ge 2.2447 3.1223 7.8259
Ge 2.2447 5.0937 9.5840
Ge 2.2447 7.1611 7.9738
Ge 2.2447 1.0548 9.4361
Ge 2.2447 3.0532 0.7311
Ge 2.2447 5.1628 16.6788
Ge 2.2447 8.0818 5.3938
Ge 2.2447 0.1342 12.0162
Ge 2.2447 3.9738 3.3112
Ge 2.2447 4.2421 14.0988

---

5.
6
Lattice="-1.5352 1.8503 -4.0962 -4.4277 0.1224 1.7147 1.4182 8.0174 3.0899" Properties=species:S:1:pos:R:3 comment="BaCeGe GGA-PBE relaxed" ef_ev_per_fu=-1.4 total_magnetization_mub_per_fu=1.58 space_group="P4/nmm, No. 129" de_polymorph_kcal_per_mol_atoms=0.00 dos_at_fermi_per_ev_fu=5.5 pbc="T T T"
Ge 0.2690 6.7852 0.2104
Ge -1.8322 2.2185 1.6887
Ba -0.5739 2.0203 -1.6261
Ba -0.9894 6.9834 3.5252
Ce -2.2723 4.9950 0.3542
Ce 0.7091 4.0087 1.5450

---

6.
4
Lattice="-1.7299 3.8751 -2.2141 -1.1287 -0.2028 -4.6472 -6.9380 -0.5724 -0.7550" Properties=species:S:1:pos:R:3 comment="BaCeGe2 GGA-PBE relaxed" ef_ev_per_fu=-1.6 total_magnetization_mub_per_fu=0.37 space_group="R-3m, No. 166" dos_at_fermi_per_ev_fu=7.1 pbc="T T T"
Ge -1.9653 0.9202 -2.0279
Ge -7.8313 2.1797 -5.5883
Ba -4.8983 1.5499 -3.8081
Ce 0.0000 0.0000 0.0000

---

7.
3
Lattice="4.9183 0.0000 0.0000 0.0000 4.9942 0.0000 0.0000 -2.4971 4.3251" Properties=species:S:1:pos:R:3 comment="BaCeGe GGA-PBE relaxed" ef_ev_per_fu=-0.7 total_magnetization_mub_per_fu=0.97 space_group="P3m1, No. 156" de_polymorph_kcal_per_mol_atoms=5.27 dos_at_fermi_per_ev_fu=7.1 pbc="T T T"
Ge 1.0599 0.0000 2.8834
Ba 3.2224 2.4971 1.4417
Ce 0.6361 0.0000 0.0000

---

8.
6
Lattice="4.4557 0.0000 0.0000 -2.2278 3.8587 0.0000 0.0000 0.0000 10.2724" Properties=species:S:1:pos:R:3 comment="BaCeIn2Ge2 GGA-PBE relaxed" ef_ev_per_fu=-3.0 total_magnetization_mub_per_fu=0.48 space_group="P-3m1, No. 164" dos_at_fermi_per_ev_fu=6.3 pbc="T T T"
Ba 0.0000 0.0000 0.0000
Ce 0.0000 0.0000 5.1362
In 2.2278 1.2862 2.4301
In 0.0000 2.5725 7.8422
Ge 2.2278 1.2862 6.7453
Ge 0.0000 2.5725 3.5271

---

9.
6
Lattice="4.6454 0.0000 0.0000 -2.3227 4.0230 0.0000 0.0000 0.0000 8.0168" Properties=species:S:1:pos:R:3 comment="BaLi2CeGe2 GGA-PBE relaxed" ef_ev_per_fu=-3.3 total_magnetization_mub_per_fu=0.15 space_group="P-3m1, No. 164" dos_at_fermi_per_ev_fu=1.2 pbc="T T T"
Ba 0.0000 0.0000 0.0000
Li 0.0000 2.6820 5.5191
Li 2.3227 1.3410 2.4977
Ce 0.0000 0.0000 4.0084
Ge 0.0000 2.6820 2.4708
Ge 2.3227 1.3410 5.5460

---

10.
12
Lattice="4.6808 -0.0503 0.0864 -0.0073 4.7684 0.0955 0.1660 0.1724 8.0538" Properties=species:S:1:pos:R:3 comment="BaCe2GeO8 GGA-PBE relaxed" formation_energy_uncorrected_kj_per_mol_fu=-2749 total_magnetization_mub_per_fu=0.00 space_group="P-1, No. 2" pbc="T T T"
Ba 0.0830 0.0862 4.0269
Ce 2.2809 2.3256 6.4813
Ce 2.5586 2.5648 1.7544
Ge 0.0000 0.0000 0.0000
O 0.7182 3.6778 1.6265
O 3.4758 3.5910 7.9923
O 3.7074 0.7486 1.6036
O 4.1213 1.2126 6.6093
O 1.3637 1.2995 0.2434
O 1.1321 4.1418 6.6322
O 2.7387 3.1111 4.1532
O 2.1008 1.7793 4.0826

---

11.
10
Lattice="-3.8446 -1.2640 -2.0529 -1.7547 -1.1828 4.0144 -4.0646 10.3132 1.2621" Properties=species:S:1:pos:R:3 comment="Ba2CeGe3Pd4 GGA-PBE relaxed" ef_ev_per_fu=-6.7 total_magnetization_mub_per_fu=0.77 space_group="P-4m2, No. 115" dos_at_fermi_per_ev_fu=9.8 pbc="T T T"
Ba -2.8634 1.7558 -0.7343
Ba -4.0009 7.3340 2.9770
Ce -4.8320 3.9332 1.6117
Ge -2.0323 5.1566 0.6310
Ge -5.5347 8.5336 0.0952
Ge -1.3296 0.5561 2.1476
Pd -2.7997 -1.2234 0.9807
Pd 0.0000 0.0000 0.0000
Pd -4.5816 6.1153 -0.2008
Pd -2.2827 2.9744 2.4436

---

12.
11
Lattice="-4.2445 5.7887 0.7495 -2.2597 -5.7665 -3.0078 0.4317 -0.7485 8.2254" Properties=species:S:1:pos:R:3 comment="Ba2CeGe2S6 GGA-PBE relaxed" formation_energy_uncorrected_kj_per_mol_fu=-1381 total_magnetization_mub_per_fu=0.30 space_group="C2/m, No. 12" dos_at_fermi_per_ev_fu=5.7 pbc="T T T"
Ba -3.8704 1.5694 0.7083
Ba -2.2022 -2.2956 5.2588
Ce -1.9064 2.5201 4.4875
Ge -5.6866 -0.2902 4.7850
Ge -0.3860 -0.4361 1.1821
S -4.0279 1.0558 3.7827
S -2.7475 -4.0866 -0.8271
S -1.2692 0.5566 6.4312
S -3.3251 3.3604 6.7942
S -4.8034 -1.2828 -0.4641
S -2.0447 -1.7821 2.1844

---

13.
18
Lattice="-1.3614 -2.3590 -3.7248 9.4046 -2.0059 0.6913 -2.7631 -10.3482 7.5636" Properties=species:S:1:pos:R:3 comment="Ba2CeGeSe5 GGA-PBE relaxed" formation_energy_uncorrected_kj_per_mol_fu=-1315 total_magnetization_mub_per_fu=0.77 space_group="Cmc2_1, No. 36" dos_at_fermi_per_ev_fu=6.2 pbc="T T T"
Ba 3.6128 -12.1712 3.5296
Ba 0.1452 -7.8696 4.9309
Ba 1.2264 -4.1932 2.2074
Ba 5.4762 -5.5656 -1.3348
Ce 3.0524 -8.5059 1.4131
Ce 3.4707 -1.5520 -0.2856
Ge -2.3560 -11.2446 5.1243
Ge 6.5856 -7.4029 2.2814
Se 6.1496 -2.3587 -0.7538
Se 0.1066 -11.3917 4.3175
Se 6.5733 -11.1444 4.6555
Se 3.3632 -8.8056 4.3475
Se 5.8923 -9.4827 0.9938
Se 0.4570 -7.3867 1.6530
Se 4.4889 -5.8852 2.0866
Se -1.4034 -3.9813 0.1762
Se 2.3745 -4.1940 -1.0699
Se 0.6601 -0.4656 0.0536

---

14.
6
Lattice="4.3485 0.0000 0.0000 -2.1743 3.7659 0.0000 0.0000 0.0000 9.0669" Properties=species:S:1:pos:R:3 comment="BaCeZn2Ge2 GGA-PBE relaxed" ef_ev_per_fu=-3.2 total_magnetization_mub_per_fu=0.79 space_group="P-3m1, No. 164" dos_at_fermi_per_ev_fu=6.8 pbc="T T T"
Ba 0.0000 0.0000 0.0000
Ce 0.0000 0.0000 4.5334
Zn 2.1743 1.2553 2.6366
Zn 0.0000 2.5106 6.4303
Ge 2.1743 1.2553 6.5364
Ge 0.0000 2.5106 2.5305

---

15.
80
Lattice="16.2785 0.0000 0.0000 -5.4262 15.3475 0.0000 -5.4262 -7.6737 13.2913" Properties=species:S:1:pos:R:3 comment="Ba12Ce3H5 GGA-PBE relaxed" total_magnetization_mub_per_fu=7.65 space_group="Ia-3d, No. 230" dft_energy_ev_per_cell=-220.48 dos_at_fermi_per_ev_fu=46.3 pbc="T T T"
H -1.3565 3.8369 3.3228
H -2.7131 7.6737 0.0000
H 0.0000 0.0000 0.0000
H 4.0696 2.8777 1.6614
H 5.4262 -3.8369 6.6457
H 5.4262 7.6737 0.0000
H -4.0696 8.6330 4.9842
H 6.7827 -4.7961 11.6299
H 6.7827 6.7145 4.9842
H 1.3565 -3.8369 9.9685
H 4.0696 11.5106 3.3228
H 2.7131 3.8369 6.6457
H 8.1392 0.0000 0.0000
H -2.7131 -3.8369 6.6457
H -1.3565 0.9592 8.3071
H -1.3565 12.4698 1.6614
H -5.4262 3.8369 6.6457
H 9.4958 -0.9592 8.3071
H 1.3565 4.7961 11.6299
H 6.7827 3.8369 9.9685
Ba 10.7171 1.6008 0.0553
Ba 0.1352 4.6851 5.2870
Ba 12.4211 3.7022 4.0511
Ba 6.5705 2.1796 1.4139
Ba 2.0632 5.3668 9.1849
Ba 11.9063 7.7765 2.5393
Ba -1.5688 9.1963 5.4650
Ba -3.8574 13.1679 1.4139
Ba 0.6499 9.9807 9.1849
Ba 7.0852 7.5709 2.5393
Ba 8.2744 4.5894 5.2317
Ba 8.2744 13.7467 0.0553
Ba -4.7762 6.8009 6.7009
Ba 3.7671 5.4233 1.1806
Ba -5.5614 10.7581 5.2317
Ba 2.8483 -2.9886 8.0043
Ba -0.6499 1.4341 2.5946
Ba 3.7671 9.8214 1.3587
Ba 6.5705 11.6453 4.0511
Ba -1.0540 5.5260 1.3587
Ba -3.3630 9.1079 10.6967
Ba 4.2818 6.1512 5.4650
Ba 7.4893 8.5466 6.7009
Ba 6.4802 -2.2505 12.1107
Ba 1.1443 1.5226 7.8263
Ba -2.0632 -0.8728 6.5904
Ba -1.0540 9.9242 1.1806
Ba -1.1443 -3.9716 9.2402
Ba 8.7892 -1.4341 2.5946
Ba 6.4802 2.1477 11.9326
Ba 1.6590 -2.1477 11.9326
Ba 2.5779 10.6624 5.2870
Ba 6.0761 6.2396 10.6967
Ba 10.9875 -3.0844 8.0596
Ba 10.2024 0.8728 6.5904
Ba -2.8483 -6.0730 13.2360
Ba 1.6590 2.2505 12.1107
Ba 4.7762 -2.3070 4.1064
Ba -1.6590 0.1028 10.7520
Ba -2.8483 3.0844 8.0596
Ba 9.2835 -5.4941 11.8774
Ba 6.9949 -1.5226 7.8263
Ba -1.1443 5.4941 11.8774
Ba -6.4802 -0.1028 10.7520
Ba 3.3630 2.3070 4.1064
Ba -6.9949 3.9716 9.2402
Ba 5.2910 2.9886 8.0043
Ba -5.2910 6.0730 13.2360
Ce 9.4958 4.7961 1.6614
Ce 9.4958 10.5514 1.6614
Ce -1.3565 6.7145 8.3071
Ce 1.3565 -0.9592 4.9842
Ce 12.2088 0.0000 3.3228
Ce 1.3565 7.6737 3.3228
Ce 4.0696 0.0000 9.9685
Ce -6.7827 7.6737 9.9685
Ce 4.0696 8.6330 8.3071
Ce 6.7827 0.9592 4.9842
Ce -4.0696 -2.8777 11.6299
Ce -4.0696 2.8777 11.6299

---

16.
4
Lattice="3.5867 0.0000 0.0000 1.7934 3.1062 0.0000 1.7934 1.0354 9.9605" Properties=species:S:1:pos:R:3 comment="BaCe2H GGA-PBE relaxed" total_magnetization_mub_per_fu=2.21 space_group="R-3m, No. 166" dft_energy_ev_per_cell=-16.62 dos_at_fermi_per_ev_fu=11.2 pbc="T T T"
H 3.5867 2.0708 4.9802
Ba 0.0000 0.0000 0.0000
Ce 1.7934 1.0354 6.4127
Ce 5.3801 3.1062 3.5478

---

17.
18
Lattice="-3.7474 -5.2342 2.1956 -1.0136 -5.1846 -4.2841 3.2012 -5.8573 1.3058" Properties=species:S:1:pos:R:3 comment="Ba2CeMg3H12 GGA-PBE relaxed" total_magnetization_mub_per_fu=2.02 space_group="R-3m, No. 166" dft_energy_ev_per_cell=-60.58 dos_at_fermi_per_ev_fu=10.9 pbc="T T T"
Ba -0.9570 -9.9854 -0.4802
Ba -0.6029 -6.2906 -0.3025
Ce 0.0000 0.0000 0.0000
Mg -1.8737 -2.6171 1.0978
Mg -0.5068 -2.5923 -2.1420
Mg 1.6006 -2.9287 0.6529
H 1.5617 -7.7979 0.5992
H -2.7644 -11.4687 -1.2541
H 0.3111 -11.7445 -1.6480
H -2.7026 -7.4155 1.1453
H -0.8990 -11.7664 1.2200
H -1.0249 -7.3851 -2.8313
H -3.1216 -8.4781 -1.3819
H 1.2046 -4.8074 0.4714
H -1.8709 -4.5316 0.8653
H 1.1428 -8.8605 -1.9280
H -0.6609 -4.5096 -2.0027
H -0.5350 -8.8910 2.0486

---

18.
10
Lattice="6.3600 0.0000 0.0000 0.0000 6.3600 0.0000 -3.1800 -3.1800 4.4922" Properties=species:S:1:pos:R:3 comment="BaCeHO2 GGA-PBE relaxed" total_magnetization_mub_per_fu=0.92 space_group="I4cm, No. 108" dft_energy_ev_per_cell=-64.29 dos_at_fermi_per_ev_fu=5.7 pbc="T T T"
Ba 3.1800 0.0000 2.2519
Ba 0.0000 3.1800 2.2519
Ce 0.0000 0.0000 0.0017
Ce 3.1800 3.1800 0.0017
H 3.1800 3.1800 2.2475
H 0.0000 0.0000 2.2475
O -1.2562 1.9238 4.4888
O 1.9238 1.2562 4.4888
O 1.2562 -1.9238 4.4888
O -1.9238 -1.2562 4.4888

---

19.
20
Lattice="-5.7905 -2.3020 -1.7286 3.6491 -5.3385 -0.0441 -0.5881 1.9508 6.8121" Properties=species:S:1:pos:R:3 comment="BaCeH6Rh2 GGA-PBE relaxed" total_magnetization_mub_per_fu=0.09 space_group="C2/c, No. 15" dft_energy_ev_per_cell=-93.73 dos_at_fermi_per_ev_fu=6.0 pbc="T T T"
Ba 2.0510 -4.3840 1.4000
Ba -4.7805 -1.3056 3.6395
Ce -2.1919 -3.0191 0.6429
Ce -0.5376 -2.6704 4.3966
H -3.8378 -4.0776 -0.7032
H -3.2687 -1.0848 1.5031
H 1.1083 -1.6120 5.7427
H 0.5393 -4.6047 3.5364
H -0.7817 -1.3093 -0.3209
H -2.3897 -5.1189 1.8229
H -1.9478 -4.3802 5.3603
H -0.3397 -0.5707 3.2165
H -0.1863 -2.7121 2.0147
H -0.4072 -4.5454 -0.0526
H -2.5431 -2.9775 3.0247
H -2.3223 -1.1441 5.0921
Rh -2.2544 0.5922 5.0533
Rh -3.4876 -4.4319 2.9071
Rh -0.4751 -6.2818 -0.0139
Rh 0.7581 -1.2577 2.1324